# 1
The following is a PBE-GGA calculation of an optimized crystal structure of In2AgSnBr6, from Alexandria via LeMat-Bulk.

Cell: 7.546 7.536 8.231 Å, 89.92 117.37 120.09°
Fractional positions:
Br 0.070 0.216 0.674
In 0.594 0.296 0.877
Br 0.484 0.086 0.196
Sn 0.989 0.994 0.969
Br 0.833 0.617 0.673
Br 0.471 0.853 0.672
Ag 0.976 0.488 0.450
Br 0.123 0.396 0.196
Br 0.812 0.726 0.196
In 0.611 0.805 0.401

Summary:
SG ... P1, No. 1
Uncorrected formation energy ... -0.593 eV per atom
Calculated density ... 4.5 g cm⁻³
Total magnetization ... 0.00 μB per cell

---

# 2
The following is a PBE-GGA calculation of an optimized crystal structure of SrInAgBr6, from Alexandria via LeMat-Bulk.

Cell: 7.313 7.313 12.688 Å, 90.00 90.00 120.00°
Fractional positions:
Br 0.644 0.965 0.876
Ag 0.000 0.000 0.500
Ag 0.000 0.000 0.000
Br 0.035 0.679 0.876
Br 0.965 0.644 0.376
In 0.333 0.667 0.750
Br 0.679 0.035 0.376
Br 0.679 0.644 0.124
Br 0.321 0.356 0.876
Br 0.035 0.356 0.624
Br 0.321 0.965 0.624
Br 0.356 0.321 0.376
Br 0.644 0.679 0.624
Sr 0.667 0.333 0.750
In 0.667 0.333 0.250
Sr 0.333 0.667 0.250
Br 0.356 0.035 0.124
Br 0.965 0.321 0.124

Summary:
SG ... P-31c, No. 163
Uncorrected formation energy ... -1.098 eV per atom
Calculated density ... 4.5 g cm⁻³
Total magnetization ... 0.00 μB per cell

---

# 3
The following is a PBE-GGA calculation of an optimized crystal structure of TbIn2AgBr6, from Alexandria via LeMat-Bulk.

Cell: 7.587 8.076 10.874 Å, 90.00 88.79 90.00°
Fractional positions:
Br 0.608 0.024 0.250
Br 0.108 0.476 0.750
Tb 0.000 0.500 0.000
Br 0.195 0.188 0.452
In 0.528 0.585 0.758
Br 0.305 0.688 0.048
Br 0.695 0.312 0.952
Ag 0.000 0.500 0.500
Br 0.185 0.205 0.052
Br 0.392 0.976 0.750
Tb 0.500 0.000 0.500
Br 0.805 0.812 0.548
In 0.028 0.915 0.258
In 0.472 0.415 0.242
Br 0.315 0.705 0.448
Br 0.892 0.524 0.250
Ag 0.500 0.000 0.000
In 0.972 0.085 0.742
Br 0.685 0.295 0.552
Br 0.815 0.795 0.948

Summary:
SG ... P2_1/c, No. 14
Uncorrected formation energy ... -1.074 eV per atom
Calculated density ... 4.9 g cm⁻³
Total magnetization ... 0.00 μB per cell

---

# 4
The following is a PBE-GGA calculation of an optimized crystal structure of In2AgTe3Br, from Alexandria via LeMat-Bulk.

Cell: 4.316 4.316 11.694 Å, 90.00 90.00 90.00°
Fractional positions:
Te 0.500 0.500 0.000
Te 0.000 0.000 0.238
In 0.500 0.500 0.737
In 0.500 0.500 0.263
Br 0.500 0.500 0.500
Te 0.000 0.000 0.762
Ag 0.000 0.000 0.000

Summary:
SG ... P4/mmm, No. 123
Uncorrected formation energy ... -0.267 eV per atom
Calculated density ... 6.1 g cm⁻³
Total magnetization ... 0.00 μB per cell